1.
Entry from Alexandria via LeMat-Bulk: crystalline LiMgSb2 at its relaxed geometry (GGA-PBEsol).

Cell and atoms, written as POSCAR:
```
LiMgSb2
1.0
4.468 0.000 0.000
0.000 4.819 0.000
-2.234 -2.410 4.173
Sb Li Mg
2 1 1
Direct
0.249 0.249 0.497 Sb
0.751 0.751 0.503 Sb
0.500 0.000 0.000 Li
0.000 0.500 0.000 Mg
```

Calculated values
Its density is 5079 kg/m³. Its total energy is -3.495 eV/atom. The value obtained for the formation energy (no corrections) is -114 kJ/mol of formula units. The space-group type is No. 71.

---

2.
Entry from Alexandria via LeMat-Bulk: crystalline LiMg2Sb at its relaxed geometry (GGA-PBEsol).

Cell and atoms, written as POSCAR:
```
LiMg2Sb
1.0
3.869 0.000 0.000
0.000 3.869 0.000
0.000 0.000 5.887
Li Mg Sb
1 2 1
Direct
0.500 0.500 0.500 Li
0.000 0.000 0.754 Mg
0.000 0.000 0.246 Mg
0.500 0.500 0.000 Sb
```

Calculated values
Its density is 3341 kg/m³. Its total energy is -2.715 eV/atom. The value obtained for the formation energy (no corrections) is -87 kJ/mol of formula units. The space-group type is No. 123.

---

3.
Entry from Alexandria via LeMat-Bulk: crystalline LiMg2Sb at its relaxed geometry (GGA-PBEsol).

Cell and atoms, written as POSCAR:
```
LiMg2Sb
1.0
4.303 0.000 0.000
0.000 4.303 0.000
-2.152 -2.152 4.553
Sb Mg Li
1 2 1
Direct
0.500 0.500 0.000 Sb
0.750 0.250 0.500 Mg
0.000 0.000 0.000 Mg
0.250 0.750 0.500 Li
```

Calculated values
Its density is 3492 kg/m³. Its total energy is -2.755 eV/atom. The value obtained for the formation energy (no corrections) is -103 kJ/mol of formula units. The space-group type is No. 119.

---

4.
Entry from Alexandria via LeMat-Bulk: crystalline LiMgSb at its relaxed geometry (GGA-PBEsol).

Cell and atoms, written as POSCAR:
```
LiMgSb
1.0
-1.440 -3.308 0.812
1.373 -1.573 -3.971
2.689 -0.291 3.580
Li Sb Mg
1 1 1
Direct
0.166 0.000 0.000 Li
0.169 0.667 0.333 Sb
0.665 0.333 0.667 Mg
```

Calculated values
Its density is 3941 kg/m³. Its total energy is -3.069 eV/atom. The value obtained for the formation energy (no corrections) is -93 kJ/mol of formula units. The space-group type is No. 156.

---

5.
Entry from Alexandria via LeMat-Bulk: crystalline LiMgSb3 at its relaxed geometry (GGA-PBEsol).

Cell and atoms, written as POSCAR:
```
LiMgSb3
1.0
-3.499 -3.333 -1.233
-0.014 -1.717 4.682
-3.553 3.289 1.196
Mg Sb Li
1 3 1
Direct
0.500 0.500 0.500 Mg
0.000 0.500 0.000 Sb
0.500 0.000 0.000 Sb
0.000 0.000 0.500 Sb
0.000 0.000 0.000 Li
```

Calculated values
Its density is 5308 kg/m³. Its total energy is -3.263 eV/atom. The value obtained for the formation energy (no corrections) is 100 kJ/mol of formula units. The space-group type is No. 221.

---

6.
Entry from Alexandria via LeMat-Bulk: crystalline LiMgSb2 at its relaxed geometry (GGA-PBEsol).

Cell and atoms, written as POSCAR:
```
LiMgSb2
1.0
4.138 0.000 0.000
0.000 4.655 0.000
0.000 0.000 4.654
Li Mg Sb
1 1 2
Direct
0.500 0.500 0.000 Li
0.500 0.000 0.500 Mg
0.000 0.500 0.500 Sb
0.000 0.000 0.000 Sb
```

Calculated values
Its density is 5089 kg/m³. Its total energy is -3.501 eV/atom. The value obtained for the formation energy (no corrections) is -116 kJ/mol of formula units. The space-group type is No. 123.

---

7.
Entry from Alexandria via LeMat-Bulk: crystalline LiMg2Sb at its relaxed geometry (GGA-PBEsol).

Cell and atoms, written as POSCAR:
```
LiMg2Sb
1.0
3.254 0.000 0.000
0.000 3.254 0.000
0.000 0.000 8.401
Li Mg Sb
1 2 1
Direct
0.500 0.500 0.735 Li
0.500 0.500 0.257 Mg
0.000 0.000 0.995 Mg
0.000 0.000 0.513 Sb
```

Calculated values
Its density is 3310 kg/m³. Its total energy is -2.628 eV/atom. The value obtained for the formation energy (no corrections) is -53 kJ/mol of formula units. The space-group type is No. 99.

---

8.
Entry from Alexandria via LeMat-Bulk: crystalline LiMgSb at its relaxed geometry (GGA-PBEsol).

Cell and atoms, written as POSCAR:
```
LiMgSb
1.0
3.989 0.000 0.000
0.000 3.989 0.000
-1.995 -1.995 4.093
Mg Li Sb
1 1 1
Direct
0.677 0.677 0.354 Mg
0.997 0.997 0.994 Li
0.326 0.326 0.653 Sb
```

Calculated values
Its density is 3901 kg/m³. Its total energy is -3.072 eV/atom. The value obtained for the formation energy (no corrections) is -94 kJ/mol of formula units. The space-group type is No. 107.

---

9.
Entry from Alexandria via LeMat-Bulk: crystalline LiMg2Sb at its relaxed geometry (GGA-PBEsol).

Cell and atoms, written as POSCAR:
```
LiMg2Sb
1.0
3.400 0.000 0.000
-1.700 4.824 -0.001
0.000 -0.940 5.342
Mg Li Sb
2 1 1
Direct
0.999 0.997 0.009 Mg
0.245 0.491 0.756 Mg
0.757 0.514 0.254 Li
0.499 0.998 0.482 Sb
```

Calculated values
Its density is 3360 kg/m³. Its total energy is -2.660 eV/atom. The value obtained for the formation energy (no corrections) is -66 kJ/mol of formula units. The space-group type is No. 8.

---

10.
Entry from Alexandria via LeMat-Bulk: crystalline LiMg2Sb at its relaxed geometry (GGA-PBEsol).

Cell and atoms, written as POSCAR:
```
LiMg2Sb
1.0
-3.292 -3.499 -1.322
-1.109 -3.695 3.153
-4.478 -0.157 2.178
Mg Li Sb
2 1 1
Direct
0.000 0.000 0.000 Mg
0.750 0.750 0.750 Mg
0.500 0.500 0.500 Li
0.250 0.250 0.250 Sb
```

Calculated values
Its density is 3367 kg/m³. Its total energy is -2.689 eV/atom. The value obtained for the formation energy (no corrections) is -77 kJ/mol of formula units. The space-group type is No. 216.

---

11.
Entry from Alexandria via LeMat-Bulk: crystalline Li3MgSb at its relaxed geometry (GGA-PBEsol).

Cell and atoms, written as POSCAR:
```
Li3MgSb
1.0
5.175 0.000 0.000
0.000 5.175 0.000
0.000 0.000 5.175
Mg Sb Li
1 1 3
Direct
0.500 0.500 0.500 Mg
0.000 0.000 0.000 Sb
0.000 0.000 0.500 Li
0.500 0.000 0.000 Li
0.000 0.500 0.000 Li
```

Calculated values
Its density is 2000 kg/m³. Its total energy is -2.556 eV/atom. The value obtained for the formation energy (no corrections) is -58 kJ/mol of formula units. The space-group type is No. 221.

---

12.
Entry from Alexandria via LeMat-Bulk: crystalline LiMgSiSb2 at its relaxed geometry (GGA-PBEsol).

Cell and atoms, written as POSCAR:
```
LiMgSiSb2
1.0
-0.989 -3.747 2.574
-2.535 -1.897 -3.735
4.057 -2.196 -1.639
Si Sb Mg Li
1 2 1 1
Direct
0.500 0.500 0.500 Si
0.000 0.000 0.500 Sb
0.000 0.500 0.000 Sb
0.500 0.000 0.000 Mg
0.000 0.000 0.000 Li
```

Calculated values
Its density is 4510 kg/m³. Its total energy is -3.223 eV/atom. The value obtained for the formation energy (no corrections) is 235 kJ/mol of formula units. The space-group type is No. 123.

---

Q: Which of these has the highest formation energy (no corrections)?
A: LiMgSiSb2